Density functional theory data (GGA-PBE) for KNb2Mo after structural relaxation.

Properties
* distance to the lowest polymorph of the same formula: 0.0000 eV per atom
* calculated formation energy: 1.313 eV/atom

Cell: 6.801 6.801 6.801 Å, 90.00 90.00 90.00°
Space group Fm-3m (No. 225)
Unique sites:
1 K 0.000 0.000 0.000
2 Nb 0.250 0.250 0.250
3 Mo 0.000 0.000 0.500

Density functional theory data (GGA-PBE) for ErNi6Sn2 after structural relaxation.

Properties
* calculated formation energy: -0.096 eV/atom

Cell: 3.517 6.397 12.573 Å, 90.00 90.00 90.00°
Space group Immm (No. 71)
Unique sites:
1 Er 0.000 0.000 0.000
2 Ni 0.000 0.179 0.500
3 Ni 0.000 0.308 0.320
4 Sn 0.000 0.500 0.138

Density functional theory data (GGA-PBE) for In3CoN after structural relaxation.

Properties
* distance to the lowest polymorph of the same formula: 0.0000 eV per atom
* raw formation energy: 836 meV/atom

Cell: 4.597 4.597 4.597 Å, 90.00 90.00 90.00°
Space group Pm-3m (No. 221)
Unique sites:
1 In 0.000 0.000 0.500
2 Co 0.500 0.500 0.500
3 N 0.000 0.000 0.000

Density functional theory data (GGA-PBE) for UAsSe3 after structural relaxation.

Properties
* raw formation energy: -630 meV/atom

Cell: 7.372 8.702 8.770 Å, 90.00 110.78 90.00°
Space group P2_1/c (No. 14)
Unique sites:
1 U 0.225 0.136 0.402
2 As 0.044 0.693 0.456
3 Se 0.127 0.074 0.695
4 Se 0.290 0.080 0.105
5 Se 0.378 0.660 0.974

Density functional theory data (GGA-PBE) for PmEr2Nb after structural relaxation.

Properties
* calculated formation energy: 0.539 eV/atom

Cell: 3.2970 3.2970 35.0405 Å, 90.00 90.00 120.00°
Space group R-3m (No. 166, hexagonal axes)
Unique sites:
1 Pm 0.0000 0.0000 0.0000
2 Er 0.0000 0.0000 0.4176
3 Nb 0.0000 0.0000 0.5000

Density functional theory data (GGA-PBE) for CsZrSe2 after structural relaxation.

Properties
* raw formation energy: -431 meV/atom

Cell: 7.455 7.455 7.455 Å, 90.00 90.00 90.00°
Space group Fm-3m (No. 225)
Unique sites:
1 Cs 0.000 0.000 0.000
2 Zr 0.000 0.000 0.500
3 Se 0.250 0.250 0.250

Density functional theory data (GGA-PBE) for Cs2WAu after structural relaxation.

Properties
* calculated formation energy: 1.396 eV/atom

Cell: 8.895 8.895 8.895 Å, 90.00 90.00 90.00°
Space group Fm-3m (No. 225)
Unique sites:
1 Cs 0.250 0.250 0.250
2 W 0.000 0.000 0.000
3 Au 0.000 0.000 0.500

Density functional theory data (GGA-PBE) for BaTlBrCl4 after structural relaxation.

Properties
* raw formation energy: -1344 meV/atom

Cell: 12.306 10.067 9.334 Å, 90.00 103.54 90.00°
Space group C2/m (No. 12)
Unique sites:
1 Ba 0.199 0.000 0.099
2 Tl 0.148 0.500 0.296
3 Br 0.025 0.000 0.793
4 Cl 0.051 0.500 0.698
5 Cl 0.173 0.320 0.115
6 Cl 0.207 0.000 0.478

Density functional theory data (GGA-PBE) for Al2CrSe after structural relaxation.

Properties
* distance to the lowest polymorph of the same formula: 0.0453 eV per atom
* raw formation energy: 15 meV/atom

Cell: 2.915 4.269 11.391 Å, 90.00 90.00 90.00°
Space group Imm2 (No. 44)
Unique sites:
1 Al 0.000 0.000 0.000
2 Al 0.000 0.500 0.166
3 Cr 0.000 0.500 0.686
4 Se 0.000 0.000 0.354

Density functional theory data (GGA-PBE) for CeTiNi4 after structural relaxation.

Properties
* calculated formation energy: -0.289 eV/atom

Cell: 6.983 6.983 6.983 Å, 90.00 90.00 90.00°
Space group F-43m (No. 216)
Unique sites:
1 Ce 0.000 0.000 0.000
2 Ti 0.250 0.250 0.250
3 Ni 0.124 0.124 0.624

Density functional theory data (GGA-PBE) for CdHgPbAu after structural relaxation.

Properties
* distance to the lowest polymorph of the same formula: 0.0679 eV per atom
* calculated formation energy: 0.026 eV/atom

Cell: 7.265 7.265 7.265 Å, 90.00 90.00 90.00°
Space group F-43m (No. 216)
Unique sites:
1 Cd 0.000 0.000 0.000
2 Hg 0.250 0.250 0.750
3 Pb 0.000 0.000 0.500
4 Au 0.250 0.250 0.250

Density functional theory data (GGA-PBE) for Dy3Sn2BRu3 after structural relaxation.

Properties
* calculated formation energy: -0.458 eV/atom

Cell: 7.5135 7.5135 3.5639 Å, 90.00 90.00 120.00°
Space group P-62m (No. 189)
Unique sites:
1 Dy 0.0000 0.3493 0.0000
2 Sn 0.3333 0.6667 0.5000
3 B 0.0000 0.0000 0.0000
4 Ru 0.0000 0.7841 0.5000

Density functional theory data (GGA-PBE) for Tb5HoGa6 after structural relaxation.

Properties
* distance to the lowest polymorph of the same formula: 0.0020 eV per atom
* calculated formation energy: -0.584 eV/atom

Cell: 8.743 15.226 5.066 Å, 90.00 125.24 90.00°
Space group C2/m (No. 12)
Unique sites:
1 Tb 0.000 0.000 0.000
2 Tb 0.000 0.167 0.500
3 Tb 0.000 0.333 0.000
4 Ho 0.000 0.500 0.500
5 Ga 0.248 0.500 0.248
6 Ga 0.249 0.334 0.749

Density functional theory data (GGA-PBE) for K2Cu2BiSe4 after structural relaxation.

Properties
* raw formation energy: -617 meV/atom

Cell: 15.538 4.079 8.000 Å, 90.00 111.10 90.00°
Space group C2/m (No. 12)
Unique sites:
1 K 0.131 0.000 0.050
2 Cu 0.192 0.500 0.492
3 Bi 0.000 0.000 0.500
4 Se 0.028 0.500 0.262
5 Se 0.204 0.000 0.681

Density functional theory data (GGA-PBE) for BaCeHg3 after structural relaxation.

Properties
* calculated formation energy: -0.388 eV/atom

Cell: 3.980 30.708 5.090 Å, 90.00 90.00 90.00°
Space group Cmcm (No. 63)
Unique sites:
1 Ba 0.000 0.077 0.250
2 Ce 0.000 0.210 0.750
3 Hg 0.000 0.315 0.750
4 Hg 0.000 0.374 0.250
5 Hg 0.000 0.474 0.250

Density functional theory data (GGA-PBE) for La2MgAu3 after structural relaxation.

Properties
* calculated formation energy: -0.746 eV/atom

Cell: 5.2306 5.2306 12.5128 Å, 90.00 90.00 120.00°
Space group P-3m1 (No. 164)
Unique sites:
1 La 0.0000 0.0000 0.0000
2 La 0.0000 0.0000 0.5000
3 La 0.3333 0.6667 0.1866
4 Mg 0.3333 0.6667 0.6636
5 Au 0.0000 0.0000 0.2497
6 Au 0.3333 0.6667 0.4332
7 Au 0.3333 0.6667 0.9095

Density functional theory data (GGA-PBE) for Rb7Cd2Au2 after structural relaxation.

Properties
* distance to the lowest polymorph of the same formula: 0.0000 eV per atom
* calculated formation energy: -0.087 eV/atom

Cell: 9.541 14.065 8.808 Å, 90.00 90.00 90.00°
Space group Cmmm (No. 65)
Unique sites:
1 Rb 0.000 0.000 0.000
2 Rb 0.000 0.500 0.250
3 Rb 0.250 0.250 0.267
4 Cd 0.151 0.000 0.500
5 Au 0.000 0.308 0.000

Density functional theory data (GGA-PBE) for NaGaTeN2 after structural relaxation.

Properties
* distance to the lowest polymorph of the same formula: 0.7234 eV per atom
* raw formation energy: 1719 meV/atom

Cell: 4.474 4.474 6.212 Å, 90.00 90.00 90.00°
Space group P4/mmm (No. 123)
Unique sites:
1 Na 0.000 0.000 0.000
2 Ga 0.500 0.500 0.500
3 Te 0.000 0.000 0.500
4 N 0.000 0.500 0.000

Density functional theory data (GGA-PBE) for RbNpPd2Se4 after structural relaxation.

Properties
* raw formation energy: -562 meV/atom

Cell: 6.934 6.953 9.102 Å, 90.00 90.00 90.00°
Space group I222 (No. 23)
Unique sites:
1 Rb 0.000 0.000 0.000
2 Np 0.000 0.000 0.500
3 Pd 0.000 0.500 0.249
4 Se 0.213 0.214 0.698

Density functional theory data (GGA-PBE) for Pm3Tm2Te8 after structural relaxation.

Properties
* raw formation energy: -1228 meV/atom

Cell: 15.418 8.784 7.583 Å, 90.00 108.75 90.00°
Space group C2/m (No. 12)
Unique sites:
1 Pm 0.000 0.000 0.000
2 Pm 0.000 0.258 0.500
3 Tm 0.250 0.000 0.833
4 Te 0.118 0.500 0.384
5 Te 0.126 0.000 0.422
6 Te 0.126 0.249 0.916